1.
The following is a DFT calculation (SCAN) of a PBEsol-optimized structure of Re2SbRhPb.

Cell lengths 4.7872, 4.7872, 5.4301 Å; angles 90.00, 90.00, 90.00 degrees
Element x y z (fractional)
1 Pb 0.0000 0.0000 0.5000
2 Re 0.0000 0.5000 0.0000
3 Re 0.5000 0.0000 0.0000
4 Rh 0.5000 0.5000 0.5000
5 Sb 0.0000 0.0000 0.0000

Output
D(E_F)	4.20	states/eV per cell
calculated total energy	-55.1686	eV per atom
crystal system	tetragonal
energy relative to the elements, uncorrected	2.63	eV/atom

***

2.
The following is a DFT calculation (SCAN) of a PBEsol-optimized structure of ReRhPb2Se.

Cell lengths 4.4174, 5.5011, 5.5011 Å; angles 90.00, 90.00, 90.00 degrees
Element x y z (fractional)
1 Pb 0.0000 0.0000 0.5000
2 Pb 0.0000 0.5000 0.0000
3 Re 0.5000 0.5000 0.5000
4 Rh 0.5000 0.0000 0.0000
5 Se 0.0000 0.0000 0.0000

Output
D(E_F)	3.10	states/eV per cell
calculated total energy	-53.8075	eV per atom
crystal system	tetragonal
energy relative to the elements, uncorrected	1.49	eV/atom

***

3.
The following is a DFT calculation (SCAN) of a PBEsol-optimized structure of ReRuPb2.

Cell lengths 3.1112, 3.1112, 8.7587 Å; angles 90.00, 90.00, 116.40 degrees
Element x y z (fractional)
1 Pb 0.0000 0.0000 0.2438
2 Pb 0.0000 0.0000 0.7562
3 Re 0.5000 0.5000 0.5000
4 Ru 0.5000 0.5000 0.0000

Output
D(E_F)	3.80	states/eV per cell
calculated total energy	-63.2386	eV per atom
crystal system	orthorhombic
distance to the lowest polymorph of the same formula	0.02	eV per formula unit